This record from the Alexandria database describes a geometry-optimized AcMn2CrO6 structure. The functional is PBE with a Hubbard U.

## Properties
Uncorrected energy (eV/atom): -7.357

Structure (POSCAR):
```
AcMn2CrO6
1.0
5.455 0.000 0.000
0.000 5.549 0.000
0.000 0.000 5.549
O Mn Cr Ac
6 2 1 1
direct
0.750 0.776 0.776
0.333 0.000 0.000
0.750 0.224 0.776
0.750 0.776 0.224
0.115 0.500 0.500
0.750 0.224 0.224
0.917 0.500 0.000
0.917 0.000 0.500
0.633 0.000 0.000
0.530 0.500 0.500
```